Crystalline Ac12Ni2Pb5 at its relaxed geometry. Source: Alexandria via LeMat-Bulk, functional GGA-PBE.

Summary:
DOS(E_F)   1.03 states/eV/atom
DFT formation energy   -24.0 kJ per mole of atoms
Spin magnetization   0.55 Bohr magnetons per cell
V   793.6 Å³ per cell
Symmetry   C2/m, No. 12

Lattice parameters (Å, degrees): 10.3394 10.3394 10.5599 104.39 104.39 46.91
Sites, in units of the cell vectors:
Ac (0.0008, 0.0008, 0.2484)
Ac (0.0884, 0.6075, 0.9251)
Ac (0.1059, 0.5940, 0.4225)
Ac (0.3925, 0.9116, 0.0749)
Ac (0.4060, 0.8941, 0.5775)
Ac (0.4987, 0.4987, 0.1719)
Ac (0.5013, 0.5013, 0.8281)
Ac (0.5940, 0.1059, 0.4225)
Ac (0.6075, 0.0884, 0.9251)
Ac (0.8941, 0.4060, 0.5775)
Ac (0.9116, 0.3925, 0.0749)
Ac (0.9992, 0.9992, 0.7516)
Ni (0.1631, 0.8369, 0.0000)
Ni (0.8369, 0.1631, 0.0000)
Pb (0.1945, 0.1945, 0.8362)
Pb (0.1957, 0.1957, 0.3590)
Pb (0.5000, 0.5000, 0.5000)
Pb (0.8043, 0.8043, 0.6410)
Pb (0.8055, 0.8055, 0.1638)